# 1
Ti2Al5FeNi2 | PBE-GGA | relaxed

a b c (Å): 2.894 9.888 9.888
angles (deg): 90.00 90.00 90.00
Element x y z (fractional)
Ti  0.000  0.683  0.183
Ti  0.000  0.317  0.817
Ti  0.000  0.183  0.317
Ti  0.000  0.817  0.683
Al  0.500  0.195  0.043
Al  0.500  0.805  0.957
Al  0.500  0.043  0.805
Al  0.500  0.695  0.457
Al  0.500  0.957  0.195
Al  0.500  0.305  0.543
Al  0.500  0.543  0.695
Al  0.500  0.457  0.305
Al  0.500  0.500  0.000
Al  0.500  0.000  0.500
Fe  0.000  0.000  0.000
Fe  0.000  0.500  0.500
Ni  0.000  0.136  0.636
Ni  0.000  0.864  0.364
Ni  0.000  0.636  0.864
Ni  0.000  0.364  0.136

Crystal system: tetragonal

---

# 2
Tm2AlFe2Ni5 | PBE-GGA | relaxed

a b c (Å): 3.646 8.887 8.887
angles (deg): 90.00 90.00 90.00
Element x y z (fractional)
Tm  0.000  0.678  0.178
Tm  0.000  0.322  0.822
Tm  0.000  0.178  0.322
Tm  0.000  0.822  0.678
Al  0.000  0.000  0.000
Al  0.000  0.500  0.500
Fe  0.000  0.120  0.620
Fe  0.000  0.880  0.380
Fe  0.000  0.620  0.880
Fe  0.000  0.380  0.120
Ni  0.500  0.207  0.061
Ni  0.500  0.793  0.939
Ni  0.500  0.061  0.793
Ni  0.500  0.707  0.439
Ni  0.500  0.939  0.207
Ni  0.500  0.293  0.561
Ni  0.500  0.561  0.707
Ni  0.500  0.439  0.293
Ni  0.500  0.500  0.000
Ni  0.500  0.000  0.500

Crystal system: tetragonal

---

# 3
AlVFeNi | PBE-GGA | relaxed

a b c (Å): 4.083 4.083 4.083
angles (deg): 60.00 60.00 60.00
Element x y z (fractional)
Ni  0.250  0.250  0.250
Al  0.000  0.000  0.000
Fe  0.750  0.750  0.750
V  0.500  0.500  0.500

Crystal system: cubic

---

# 4
Al2V2FeNi7 | PBE-GGA | relaxed

a b c (Å): 3.308 3.308 14.237
angles (deg): 83.25 83.25 90.00
Element x y z (fractional)
Al  0.810  0.810  0.376
Al  0.190  0.190  0.624
V  0.634  0.634  0.736
V  0.366  0.366  0.264
Fe  0.000  0.000  0.000
Ni  0.500  0.500  0.000
Ni  0.274  0.274  0.448
Ni  0.726  0.726  0.552
Ni  0.930  0.430  0.137
Ni  0.430  0.930  0.137
Ni  0.570  0.070  0.863
Ni  0.070  0.570  0.863

Crystal system: monoclinic

---

# 5
AlFeNiW | PBE-GGA | relaxed

a b c (Å): 4.174 4.174 4.174
angles (deg): 60.00 60.00 60.00
Element x y z (fractional)
Ni  0.250  0.250  0.250
Fe  0.750  0.750  0.750
W  0.500  0.500  0.500
Al  0.000  0.000  0.000

Crystal system: cubic

---

# 6
Y2AlFe2Ni5 | PBE-GGA | relaxed

a b c (Å): 3.644 9.017 9.017
angles (deg): 90.00 90.00 90.00
Element x y z (fractional)
Y  0.000  0.680  0.180
Y  0.000  0.320  0.820
Y  0.000  0.180  0.320
Y  0.000  0.820  0.680
Al  0.000  0.000  0.000
Al  0.000  0.500  0.500
Fe  0.000  0.118  0.618
Fe  0.000  0.882  0.382
Fe  0.000  0.618  0.882
Fe  0.000  0.382  0.118
Ni  0.500  0.208  0.059
Ni  0.500  0.792  0.941
Ni  0.500  0.059  0.792
Ni  0.500  0.708  0.441
Ni  0.500  0.941  0.208
Ni  0.500  0.292  0.559
Ni  0.500  0.559  0.708
Ni  0.500  0.441  0.292
Ni  0.500  0.500  0.000
Ni  0.500  0.000  0.500

Crystal system: tetragonal

---

# 7
AlZnFeNi | PBE-GGA | relaxed

a b c (Å): 4.075 4.075 4.075
angles (deg): 60.00 60.00 60.00
Element x y z (fractional)
Ni  0.250  0.250  0.250
Zn  0.500  0.500  0.500
Fe  0.750  0.750  0.750
Al  0.000  0.000  0.000

Crystal system: cubic

---

# 8
NpAlFe2 | PBE-GGA | relaxed

a b c (Å): 3.016 4.405 4.405
angles (deg): 90.00 90.00 90.00
Element x y z (fractional)
Np  0.500  0.500  0.500
Fe  0.000  0.000  0.500
Fe  0.000  0.500  0.000
Al  0.500  0.000  0.000

Crystal system: tetragonal

---

Result set for formation energy: -0.396; -0.239; -0.345; 0.062; -0.146; -0.187; -0.226; -0.058 eV/atom, one per record in the order listed.
Result set for size of the total moment: 0.0; 6.0; 1.8; 2.0; 1.2; 6.0; 0.2; 0.6 μB/f.u., one per record in the order listed.
Result set for E: -117.0; -121.8; -28.5; -73.9; -31.5; -128.7; -20.2; -33.8 eV per cell, one per record in the order listed.